Below is crystalline Ag15Pb at its relaxed geometry, with properties calculated at the PBE-GGA level.

The value obtained for the relative energy among the computed polymorphs is 30 meV/atom. The total energy is -2.814 eV per atom. The crystal system is monoclinic.

POSCAR file:
```
Ag15Pb
1.0
8.089 0.000 0.000
0.000 2.936 0.000
-0.018 0.000 35.102
Ag Pb
30 2
Direct
0.625 0.250 0.479
0.874 0.750 0.777
0.125 0.250 0.648
0.626 0.250 0.223
0.375 0.750 0.351
0.375 0.750 0.521
0.126 0.250 0.223
0.375 0.750 0.606
0.126 0.250 0.394
0.875 0.750 0.352
0.124 0.250 0.733
0.875 0.750 0.521
0.125 0.250 0.817
0.375 0.750 0.436
0.873 0.750 0.691
0.375 0.750 0.265
0.625 0.250 0.649
0.624 0.250 0.309
0.625 0.250 0.564
0.625 0.250 0.394
0.376 0.750 0.691
0.125 0.250 0.564
0.625 0.250 0.735
0.374 0.750 0.777
0.875 0.750 0.183
0.127 0.250 0.309
0.125 0.250 0.479
0.875 0.750 0.436
0.874 0.750 0.606
0.876 0.750 0.267
0.376 0.750 0.170
0.624 0.250 0.830
```

***

Below is crystalline Ag15Pb at its relaxed geometry, with properties calculated at the PBE-GGA level.

The value obtained for the relative energy among the computed polymorphs is 9 meV/atom. The total energy is -2.835 eV per atom. The crystal system is monoclinic.

POSCAR file:
```
Ag15Pb
1.0
-5.216 -1.068 2.328
-0.818 -1.377 -2.465
15.006 -37.891 16.187
Ag Pb
30 2
Direct
0.120 0.500 0.808
0.628 0.500 0.808
0.374 0.000 0.760
0.125 0.500 0.618
0.375 0.000 0.477
0.375 0.000 0.665
0.880 0.000 0.192
0.375 0.000 0.571
0.875 0.000 0.665
0.875 0.000 0.760
0.625 0.500 0.713
0.375 0.000 0.382
0.625 0.500 0.618
0.875 0.000 0.571
0.125 0.500 0.335
0.125 0.500 0.240
0.372 0.000 0.192
0.374 0.000 0.854
0.875 0.000 0.382
0.125 0.500 0.713
0.625 0.500 0.429
0.375 0.000 0.287
0.626 0.500 0.240
0.875 0.000 0.287
0.125 0.500 0.429
0.875 0.000 0.476
0.625 0.500 0.335
0.125 0.500 0.524
0.625 0.500 0.524
0.626 0.500 0.146
0.126 0.500 0.134
0.874 0.000 0.866
```

***

Below is crystalline Ag10Pb at its relaxed geometry, with properties calculated at the PBE-GGA level.

The total energy is -2.849 eV per atom. The crystal system is monoclinic.

POSCAR file:
```
Ag10Pb
1.0
-4.822 -1.259 -0.648
-3.079 -3.038 2.559
-8.064 23.065 17.177
Ag Pb
20 2
Direct
0.352 0.352 0.359
0.549 0.549 0.547
0.750 0.750 0.735
0.855 0.855 0.201
0.651 0.651 0.328
0.648 0.648 0.641
0.451 0.451 0.453
0.550 0.550 0.233
0.948 0.948 0.609
0.248 0.248 0.578
0.849 0.849 0.516
0.349 0.349 0.672
0.250 0.250 0.265
0.151 0.151 0.484
0.450 0.450 0.767
0.052 0.052 0.391
0.145 0.145 0.799
0.752 0.752 0.422
0.048 0.048 0.704
0.952 0.952 0.296
0.845 0.845 0.837
0.155 0.155 0.163
```

***

Below is crystalline Ag15Pb at its relaxed geometry, with properties calculated at the PBE-GGA level.

The value obtained for the relative energy among the computed polymorphs is 20 meV/atom. The total energy is -2.824 eV per atom. The crystal system is monoclinic.

POSCAR file:
```
Ag15Pb
1.0
4.994 0.000 0.000
0.000 35.140 0.000
-1.573 0.000 4.743
Ag Pb
30 2
Direct
0.000 0.226 0.000
0.500 0.815 0.500
0.500 0.689 0.000
0.000 0.185 0.500
0.000 0.647 0.000
0.000 0.605 0.500
0.500 0.437 0.000
0.500 0.225 0.500
0.000 0.353 0.500
0.000 0.437 0.500
0.000 0.521 0.500
0.500 0.395 0.500
0.000 0.311 0.000
0.500 0.268 0.000
0.500 0.479 0.500
0.500 0.521 0.000
0.500 0.605 0.000
0.000 0.732 0.000
0.500 0.311 0.500
0.500 0.731 0.500
0.000 0.689 0.500
0.000 0.775 0.500
0.000 0.269 0.500
0.000 0.563 0.000
0.500 0.647 0.500
0.500 0.353 0.000
0.000 0.479 0.000
0.000 0.395 0.000
0.500 0.563 0.500
0.500 0.774 0.000
0.500 0.174 0.000
0.000 0.826 0.000
```